# PaV2As

An optimized crystal structure of PaV2As (PBE-GGA, Alexandria via LeMat-Bulk). Values from VASP.

Quantum ESPRESSO input file:
```
&SYSTEM
  ibrav = 0, nat = 4, ntyp = 3
/
ATOMIC_SPECIES
V 50.94 V.upf
As 74.92 As.upf
Pa 231.04 Pa.upf
ATOMIC_POSITIONS angstrom
V 0.0000 0.0000 2.1506
V 0.0000 2.1506 0.0000
As 1.7991 0.0000 0.0000
Pa 1.7991 2.1506 2.1506
CELL_PARAMETERS angstrom
3.5981 0.0000 0.0000
0.0000 4.3013 0.0000
0.0000 0.0000 4.3013
```

Computed properties:
* V: 16.64 Å³/atom
* polymorph energy (0 for the lowest one): 0 meV per atom
* VASP energy: -33.06 eV per cell
* total moment: 2.0 μB/cell
* formation energy: -0.17 eV/atom

=====

# NpSc3

An optimized crystal structure of NpSc3 (PBE-GGA, Alexandria via LeMat-Bulk). Values from VASP.

Quantum ESPRESSO input file:
```
&SYSTEM
  ibrav = 0, nat = 4, ntyp = 2
/
ATOMIC_SPECIES
Sc 44.96 Sc.upf
Np 237.00 Np.upf
ATOMIC_POSITIONS angstrom
Sc 3.1980 0.0456 -0.3883
Sc 1.8115 -1.9151 1.8865
Sc 1.4220 -1.0921 -2.8696
Np 0.0345 0.0106 -0.0628
CELL_PARAMETERS angstrom
-0.0204 -3.0639 -0.5285
2.7828 0.8546 -5.0620
3.2501 0.6478 5.2642
```

Computed properties:
* V: 23.91 Å³/atom
* polymorph energy (0 for the lowest one): 0 meV per atom
* VASP energy: -31.06 eV per cell
* total moment: 4.9 μB/cell
* formation energy: 0.22 eV/atom